1.
5
Lattice="4.3568 0.0000 0.0000 0.0000 4.3568 0.0000 0.0000 0.0000 4.1268" Properties=species:S:1:pos:R:3 comment="ZrOsOF2 PBE optimized geometry" dos_at_fermi_per_ev_cell=5.2 energy_ev_per_fu=-33.694 m_tot_mub_per_fu=3.991 polymorph_energy_mev_per_atom=0.0 space_group="P4/mmm, No. 123" pbc="T T T"
Zr 0.0000 0.0000 0.0000
Os 2.1784 2.1784 2.0634
O 0.0000 0.0000 2.0634
F 0.0000 2.1784 0.0000
F 2.1784 0.0000 0.0000

---

2.
6
Lattice="4.5745 0.0000 0.0000 -0.0059 4.8787 0.0000 -0.2542 -0.2789 5.0874" Properties=species:S:1:pos:R:3 comment="POF PBE optimized geometry" dos_at_fermi_per_ev_cell=0.0 energy_ev_per_fu=-17.675 m_tot_mub_per_fu=0.000 space_group="P-1, No. 2" pbc="T T T"
P 0.4810 2.2069 1.4669
P 3.8335 2.3929 3.6205
O 0.8590 2.3844 3.1025
O 3.4555 2.2154 1.9849
F 0.7148 0.6234 1.3037
F 3.5997 3.9764 3.7837

---

3.
5
Lattice="4.1441 0.0000 0.0000 0.0000 4.1441 0.0000 0.0000 0.0000 4.1441" Properties=species:S:1:pos:R:3 comment="P3OF PBE optimized geometry" dos_at_fermi_per_ev_cell=2.1 energy_ev_per_fu=-20.020 m_tot_mub_per_fu=0.000 polymorph_energy_mev_per_atom=0.0 space_group="Pm-3m, No. 221" pbc="T T T"
P 0.0000 0.0000 2.0721
P 0.0000 2.0721 0.0000
P 2.0721 0.0000 0.0000
O 0.0000 0.0000 0.0000
F 2.0721 2.0721 2.0721

---

4.
5
Lattice="3.2990 0.0000 0.0000 0.0000 3.2990 0.0000 0.0000 0.0000 4.9150" Properties=species:S:1:pos:R:3 comment="P2O2F PBE optimized geometry" dos_at_fermi_per_ev_cell=2.0 energy_ev_per_fu=-26.196 m_tot_mub_per_fu=0.000 space_group="P4/mmm, No. 123" pbc="T T T"
P 0.0000 0.0000 0.0000
P 0.0000 0.0000 2.4575
O 0.0000 1.6495 0.0000
O 1.6495 0.0000 0.0000
F 1.6495 1.6495 2.4575

---

5.
36
Lattice="12.6480 0.0000 0.0000 0.0000 6.7065 0.0000 0.0000 0.0000 6.7112" Properties=species:S:1:pos:R:3 comment="P2O3F4 PBE optimized geometry" dos_at_fermi_per_ev_cell=0.0 energy_ev_per_fu=-54.013 m_tot_mub_per_fu=0.000 space_group="Pcca, No. 54" pbc="T T T"
P 1.2532 1.2708 0.8644
P 1.2532 5.4357 4.2200
P 5.0708 1.2708 4.2200
P 5.0708 5.4357 0.8644
P 7.5771 1.2708 5.8468
P 7.5771 5.4357 2.4912
P 11.3948 1.2708 2.4912
P 11.3948 5.4357 5.8468
O 0.0000 1.8239 1.6778
O 0.0000 4.8826 5.0334
O 1.3854 0.1580 3.9775
O 1.3854 6.5485 0.6219
O 4.9385 0.1580 0.6219
O 4.9385 6.5485 3.9775
O 6.3240 1.8239 5.0334
O 6.3240 4.8826 1.6778
O 7.7094 0.1580 2.7337
O 7.7094 6.5485 6.0893
O 11.2625 0.1580 6.0893
O 11.2625 6.5485 2.7337
F 1.1797 2.1879 6.3281
F 1.1797 4.5186 2.9725
F 2.4163 1.9475 1.6326
F 2.4163 4.7591 4.9881
F 3.9077 1.9475 4.9881
F 3.9077 4.7591 1.6326
F 5.1443 2.1879 2.9725
F 5.1443 4.5186 6.3281
F 7.5037 2.1879 0.3831
F 7.5037 4.5186 3.7387
F 8.7403 1.9475 5.0786
F 8.7403 4.7591 1.7230
F 10.2317 1.9475 1.7230
F 10.2317 4.7591 5.0786
F 11.4682 2.1879 3.7387
F 11.4682 4.5186 0.3831

---

6.
10
Lattice="4.9453 0.0000 0.0000 0.0000 6.6276 0.0000 -0.0116 0.0000 5.1334" Properties=species:S:1:pos:R:3 comment="POF3 PBE optimized geometry" dos_at_fermi_per_ev_cell=0.0 energy_ev_per_fu=-28.152 m_tot_mub_per_fu=0.108 polymorph_energy_mev_per_atom=9.6 space_group="Pm, No. 6" pbc="T T T"
P 0.0000 0.0000 0.0000
P 2.4699 3.3138 1.8514
O 1.0176 3.3138 1.7873
O 3.4927 0.0000 0.0599
F 0.6518 1.1985 4.4130
F 0.6518 5.4291 4.4130
F 0.7373 0.0000 1.3626
F 3.1318 2.1162 2.5744
F 3.1318 4.5115 2.5744
F 3.2110 3.3138 0.4907

---

7.
8
Lattice="3.0160 0.0000 0.0000 0.0000 8.7866 0.0000 0.0000 0.0000 4.8301" Properties=species:S:1:pos:R:3 comment="PO2F PBE optimized geometry" dos_at_fermi_per_ev_cell=0.0 energy_ev_per_fu=-23.318 m_tot_mub_per_fu=0.000 space_group="Imm2, No. 44" pbc="T T T"
P 0.0000 0.0000 0.0000
P 1.5080 4.3933 2.4151
O 0.0000 1.3699 4.3389
O 0.0000 7.4167 4.3389
O 1.5080 3.0234 1.9239
O 1.5080 5.7632 1.9239
F 0.0000 4.3933 3.5633
F 1.5080 0.0000 1.1482

---

8.
5
Lattice="3.9540 0.0000 0.0000 0.0000 3.9540 0.0000 0.0000 0.0000 3.9540" Properties=species:S:1:pos:R:3 comment="POF3 PBE optimized geometry" dos_at_fermi_per_ev_cell=5.6 energy_ev_per_fu=-19.470 m_tot_mub_per_fu=1.947 polymorph_energy_mev_per_atom=1746.0 space_group="Pm-3m, No. 221" pbc="T T T"
P 0.0000 0.0000 0.0000
O 1.9770 1.9770 1.9770
F 0.0000 0.0000 1.9770
F 0.0000 1.9770 0.0000
F 1.9770 0.0000 0.0000

---

Values for energy relative to the elements, uncorrected, meV/atom, ordered as above
-1043; -1812; 608; -718; -2315; -2434; -1530; -698